VASP calculation (GGA-PBE) on a geometry-optimized LaPm2AlAu4 structure.

a = 9.0382 Å, b = 9.0382 Å, c = 9.0382 Å
α = 32.88°, β = 32.88°, γ = 32.88°
With the nearest neighbours (Å) after each atom.
Sites, in units of the cell vectors:
La: 0.0000 0.0000 0.0000  8 Au 3.05-3.33
Pm: 0.2366 0.2366 0.2366  7 Au 3.01-3.10
Pm: 0.7634 0.7634 0.7634  7 Au 3.01-3.10
Al: 0.5000 0.5000 0.5000  2 Au 2.73
Au: 0.1191 0.1191 0.1191  4 Pm 3.01, 1 La 3.05, 3 Al 3.19, 3 Au 3.32
Au: 0.3936 0.3936 0.3936  1 Al 2.73
Au: 0.6064 0.6064 0.6064  1 Al 2.73
Au: 0.8809 0.8809 0.8809  4 Pm 3.01, 1 La 3.05, 3 Al 3.19, 3 Au 3.32

Summary:
The energy relative to the elements is -710 meV per atom. For the total energy, the calculation gives -4.6203 eV per atom. As for the space group: No. 166.

---

VASP calculation (GGA-PBE) on a geometry-optimized La4TlSe2Br structure.

a = 7.6495 Å, b = 4.3305 Å, c = 7.7770 Å
α = 90.00°, β = 108.37°, γ = 90.00°
With the nearest neighbours (Å) after each atom.
Sites, in units of the cell vectors:
La: 0.2393 0.0000 0.2279  3 Se 3.02-3.06, 1 Tl 3.20, 2 Br 3.24
La: 0.2595 0.5000 0.7706  3 Se 3.03-3.06, 1 Br 3.20, 2 Tl 3.23
La: 0.7405 0.5000 0.2294  3 Se 3.03-3.06, 1 Br 3.20, 2 Tl 3.23
La: 0.7607 0.0000 0.7721  3 Se 3.02-3.06, 1 Tl 3.20, 2 Br 3.24
Tl: 0.0000 0.0000 0.5000  6 La 3.20-3.23
Se: 0.0000 0.5000 0.0000  6 La 3.02-3.06
Se: 0.5000 0.0000 0.0000  6 La 3.03-3.06
Br: 0.5000 0.5000 0.5000  6 La 3.20-3.24

Summary:
The calculation puts the uncorrected formation energy at -1418 meV/atom. For the total energy, the calculation gives -5.2573 eV per atom. As for the space group: No. 10.

---

VASP calculation (GGA-PBE) on a geometry-optimized DyScRuO6 structure.

a = 5.2703 Å, b = 5.2703 Å, c = 9.6969 Å
α = 90.00°, β = 90.00°, γ = 120.00°
With the nearest neighbours (Å) after each atom.
Sites, in units of the cell vectors:
Dy: 0.0000 0.0000 0.0000  6 O 2.30
Dy: 0.0000 0.0000 0.5000  6 O 2.30
Sc: 0.3333 0.6667 0.2500  6 O 2.11
Sc: 0.6667 0.3333 0.7500  6 O 2.11
Ru: 0.3333 0.6667 0.7500  6 O 1.94
Ru: 0.6667 0.3333 0.2500  6 O 1.94
O: 0.0235 0.3654 0.6377  1 Ru 1.94, 1 Sc 2.11
O: 0.0235 0.6581 0.8623  1 Ru 1.94, 1 Sc 2.11
O: 0.3419 0.3654 0.8623  1 Ru 1.94, 1 Sc 2.11
O: 0.3419 0.9765 0.6377  1 Ru 1.94, 1 Sc 2.11
O: 0.3654 0.0235 0.1377  1 Ru 1.94, 1 Sc 2.11
O: 0.3654 0.3419 0.3623  1 Ru 1.94, 1 Sc 2.11
O: 0.6346 0.6581 0.6377  1 Ru 1.94, 1 Sc 2.11
O: 0.6346 0.9765 0.8623  1 Ru 1.94, 1 Sc 2.11
O: 0.6581 0.0235 0.3623  1 Ru 1.94, 1 Sc 2.11
O: 0.6581 0.6346 0.1377  1 Ru 1.94, 1 Sc 2.11
O: 0.9765 0.3419 0.1377  1 Ru 1.94, 1 Sc 2.11
O: 0.9765 0.6346 0.3623  1 Ru 1.94, 1 Sc 2.11

Summary:
The calculation puts the uncorrected formation energy at -2285 meV/atom. For the total energy, the calculation gives -7.8360 eV per atom. As for the space group: No. 163.

---

VASP calculation (GGA-PBE) on a geometry-optimized Cs3KSe structure.

a = 7.1850 Å, b = 7.1850 Å, c = 7.1850 Å
α = 90.00°, β = 90.00°, γ = 90.00°
With the nearest neighbours (Å) after each atom.
Sites, in units of the cell vectors:
Cs: 0.0000 0.0000 0.5000  2 Se 3.59
Cs: 0.0000 0.5000 0.0000  2 Se 3.59
Cs: 0.5000 0.0000 0.0000  2 Se 3.59
K: 0.5000 0.5000 0.5000  12 Cs 5.08
Se: 0.0000 0.0000 0.0000  6 Cs 3.59

Summary:
The calculation puts the uncorrected formation energy at -569 meV/atom. For the total energy, the calculation gives -1.9971 eV per atom. As for the space group: No. 221. The energy above the lowest structure with this stoichiometry is 0.000 eV per atom.

---

VASP calculation (GGA-PBE) on a geometry-optimized NdH8W2 structure.

a = 4.6079 Å, b = 4.8500 Å, c = 4.9075 Å
α = 60.51°, β = 89.70°, γ = 89.46°
With the nearest neighbours (Å) after each atom.
Sites, in units of the cell vectors:
Nd: 0.0000 0.0000 0.0000  8 H 2.27-2.41
H: 0.1159 0.4436 0.2867  1 W 1.77
H: 0.1158 0.7349 0.7085  1 W 1.77
H: 0.3347 0.3601 0.6874  2 W 1.84-1.86
H: 0.3385 0.0480 0.3085  2 W 1.84-1.86
H: 0.4808 0.8040 0.9996  2 W 1.87
H: 0.7023 0.3945 0.9982  2 W 1.85
H: 0.7522 0.0455 0.5538  2 W 1.85-1.88
H: 0.7528 0.5992 0.4449  2 W 1.85-1.88
W: 0.4958 0.3860 0.3276  7 H 1.77-1.88
W: 0.4956 0.7149 0.6703  7 H 1.77-1.88

Summary:
For the total energy, the calculation gives -5.2816 eV per atom. As for the space group: No. 1.

---

VASP calculation (GGA-PBE) on a geometry-optimized SmEr2Ir2 structure.

a = 5.4503 Å, b = 4.4096 Å, c = 10.5086 Å
α = 90.00°, β = 98.25°, γ = 90.00°
With the nearest neighbours (Å) after each atom.
Sites, in units of the cell vectors:
Sm: 0.0916 0.2500 0.2866  5 Ir 2.96-3.00
Sm: 0.9084 0.7500 0.7134  5 Ir 2.96-3.00
Er: 0.2508 0.2500 0.9713  4 Ir 2.81-2.98
Er: 0.3942 0.2500 0.6153  5 Ir 2.76-3.01
Er: 0.6058 0.7500 0.3847  5 Ir 2.76-3.01
Er: 0.7492 0.7500 0.0287  4 Ir 2.81-2.98
Ir: 0.1547 0.7500 0.4757  4 Er 2.76-3.01, 2 Ir 2.87, 3 Sm 2.96-3.00
Ir: 0.2742 0.7500 0.1379  5 Er 2.81-2.98, 2 Sm 2.96
Ir: 0.7258 0.2500 0.8621  5 Er 2.81-2.98, 2 Sm 2.96
Ir: 0.8453 0.2500 0.5243  4 Er 2.76-3.01, 2 Ir 2.87, 3 Sm 2.96-3.00

Summary:
The energy relative to the elements is -722 meV per atom. For the total energy, the calculation gives -7.0357 eV per atom. As for the space group: No. 11. The energy above the lowest structure with this stoichiometry is 0.036 eV per atom.

---

VASP calculation (GGA-PBE) on a geometry-optimized HfTlSn3 structure.

a = 5.5590 Å, b = 5.5590 Å, c = 5.5590 Å
α = 90.00°, β = 90.00°, γ = 90.00°
With the nearest neighbours (Å) after each atom.
Sites, in units of the cell vectors:
Hf: 0.0000 0.0000 0.0000  6 Sn 2.78
Tl: 0.5000 0.5000 0.5000  12 Sn 3.93
Sn: 0.0000 0.0000 0.5000  2 Hf 2.78
Sn: 0.0000 0.5000 0.0000  2 Hf 2.78
Sn: 0.5000 0.0000 0.0000  2 Hf 2.78

Summary:
The energy relative to the elements is 192 meV per atom. For the total energy, the calculation gives -4.6740 eV per atom. As for the space group: No. 221. The energy above the lowest structure with this stoichiometry is 0.000 eV per atom.

---

VASP calculation (GGA-PBE) on a geometry-optimized Rb3SrIn structure.

a = 7.9755 Å, b = 7.9755 Å, c = 7.9755 Å
α = 90.00°, β = 90.00°, γ = 90.00°
With the nearest neighbours (Å) after each atom.
Sites, in units of the cell vectors:
Rb: 0.0000 0.0000 0.5000  2 Sr 3.99
Rb: 0.0000 0.5000 0.0000  2 Sr 3.99
Rb: 0.5000 0.0000 0.0000  2 Sr 3.99
Sr: 0.0000 0.0000 0.0000  6 Rb 3.99
In: 0.5000 0.5000 0.5000  12 Rb 5.64

Summary:
The energy relative to the elements is 640 meV per atom. For the total energy, the calculation gives -0.8251 eV per atom. As for the space group: No. 221. The energy above the lowest structure with this stoichiometry is 0.398 eV per atom.

---

Number 1: DOS at the Fermi energy 3.11 states/eV per cell, total moment 0.0 μB per cell, ρ 10.67 g/cm3. Number 2: DOS at the Fermi energy 5.17 states/eV per cell, total moment 0.0 μB per cell, ρ 6.78 g/cm3. Number 3: DOS at the Fermi energy 8.43 states/eV per cell, total moment 4.0 μB per cell, ρ 5.76 g/cm3. Number 4: DOS at the Fermi energy 2.08 states/eV per cell, total moment 0.0 μB per cell, ρ 2.31 g/cm3. Number 5: DOS at the Fermi energy 2.71 states/eV per cell, total moment 0.0 μB per cell, ρ 9.04 g/cm3. Number 6: DOS at the Fermi energy 5.18 states/eV per cell, total moment 0.0 μB per cell, ρ 11.55 g/cm3. Number 7: DOS at the Fermi energy 1.80 states/eV per cell, total moment 0.0 μB per cell, ρ 7.14 g/cm3. Number 8: DOS at the Fermi energy 7.57 states/eV per cell, total moment 0.5 μB per cell, ρ 1.50 g/cm3.